1.
DFT (PBEsol) results for a relaxed structure of Si2H2O3.

Lattice parameters (Å, degrees): 7.316 7.316 7.316 76.87 76.87 76.87
Element x y z (fractional)
Si 0.171 0.740 0.266
Si 0.178 0.178 0.178
Si 0.260 0.734 0.829
Si 0.266 0.171 0.740
Si 0.734 0.829 0.260
Si 0.740 0.266 0.171
Si 0.822 0.822 0.822
Si 0.829 0.260 0.734
H 0.266 0.597 0.410
H 0.274 0.274 0.274
H 0.403 0.590 0.734
H 0.410 0.266 0.597
H 0.590 0.734 0.403
H 0.597 0.410 0.266
H 0.726 0.726 0.726
H 0.734 0.403 0.590
O 0.053 0.748 0.773
O 0.060 0.244 0.672
O 0.227 0.947 0.252
O 0.244 0.672 0.060
O 0.252 0.227 0.947
O 0.328 0.940 0.756
O 0.672 0.060 0.244
O 0.748 0.773 0.053
O 0.756 0.328 0.940
O 0.773 0.053 0.748
O 0.940 0.756 0.328
O 0.947 0.252 0.227

Values from the calculation:
space-group type	R-3 (148)
VASP energy	-184.76	eV per cell
total magnetization	0.000	μB/cell

2.
DFT (PBEsol) results for a relaxed structure of Si2H2O5.

Lattice parameters (Å, degrees): 8.320 8.320 5.933 110.62 110.62 34.86
Element x y z (fractional)
Si 0.096 0.096 0.192
Si 0.380 0.428 0.506
Si 0.572 0.620 0.494
Si 0.904 0.904 0.808
H 0.274 0.263 0.173
H 0.625 0.055 0.060
H 0.737 0.726 0.827
H 0.945 0.375 0.940
O 0.093 0.624 0.609
O 0.105 0.233 0.065
O 0.112 0.888 0.000
O 0.370 0.630 0.500
O 0.376 0.907 0.391
O 0.397 0.275 0.234
O 0.660 0.193 0.685
O 0.725 0.603 0.766
O 0.767 0.895 0.935
O 0.807 0.340 0.315

Values from the calculation:
space-group type	C2 (5)
VASP energy	-128.56	eV per cell
total magnetization	0.000	μB/cell

| no. | N(E_F) (states/eV/cell) |
| --- | --- |
| 1 | 0.00 |
| 2 | 0.00 |